DFT (PBE) results for an optimized crystal structure of NbFe2NiN.

Values from the calculation:
ΔE_f (raw): 0.916 eV/atom
Density of states at the Fermi level: 4.563 states/eV/f.u.
Magnetization: 4.02 μB/f.u.
Raw total energy: -36.52 eV per formula unit

a b c (Å): 4.5186 4.5186 3.3760
angles (deg): 90.00 90.00 90.00
Last column: nearest neighbours and their distance in Å.
Space group P4/mmm (No. 123)
Asymmetric unit:
1 Nb 0.0000 0.0000 0.0000  8 Fe 2.82
2 Fe 0.0000 0.5000 0.5000  2 Ni 2.26
3 Ni 0.5000 0.5000 0.5000  2 N 1.69
4 N 0.5000 0.5000 0.0000  2 Ni 1.69